This record from Alexandria describes an optimized crystal structure of Pr5Nd5Dy. The functional is PBE-GGA.

Unit cell a=19.315 b=6.197 c=7.104 alpha=90.00 beta=111.19 gamma=90.00
Space group C2/m (No. 12)
Asymmetric unit:
Pr 0.000 0.000 0.000 (multiplicity 2)
Pr 0.174 0.500 0.417 (multiplicity 4)
Pr 0.174 0.500 0.929 (multiplicity 4)
Nd 0.000 0.500 0.500 (multiplicity 2)
Nd 0.126 0.000 0.628 (multiplicity 4)
Nd 0.170 0.000 0.173 (multiplicity 4)
Dy 0.000 0.500 0.000 (multiplicity 2)

Values from the calculation:
The formation enthalpy at 0 K is 22.0 kJ/mol of atoms. As for the energy above the most stable polymorph in this dataset: 97 meV per atom. The calculation puts the volume at 396.4 Å³/f.u.